Entry from Alexandria via LeMat-Bulk: crystalline Er2Ni2Ir at its relaxed geometry (PBE).

## Properties
Formation energy from the elements in eV per atom: -0.536
DFT total energy in eV per formula unit: -32.2
Spin magnetization in μB per atom: 0.000

a b c (Å): 6.715 6.715 3.903
angles (deg): 90.00 90.00 90.00
Space group P4/mbm (No. 127)
Symmetry-distinct sites (fractional):
Er 0.185 0.315 0.000
Ni 0.123 0.623 0.500
Ir 0.000 0.000 0.500

***

Entry from Alexandria via LeMat-Bulk: crystalline Sn2HgAu7 at its relaxed geometry (PBE).

## Properties
Formation energy from the elements in eV per atom: 0.002
DFT total energy in eV per formula unit: -31.2
Spin magnetization in μB per atom: 0.000

a b c (Å): 4.173 4.173 24.551
angles (deg): 90.00 90.00 90.00
Space group I4/mmm (No. 139)
Symmetry-distinct sites (fractional):
Sn 0.000 0.000 0.169
Hg 0.000 0.000 0.500
Au 0.000 0.000 0.000
Au 0.000 0.500 0.090
Au 0.000 0.500 0.250

***

Entry from Alexandria via LeMat-Bulk: crystalline Sm4RhSe3 at its relaxed geometry (PBE).

## Properties
DFT total energy in eV per formula unit: -48.9
Spin magnetization in μB per atom: 0.000
E_form (uncorrected) in eV/atom: -1.526

a b c (Å): 8.498 11.882 4.102
angles (deg): 90.00 90.00 90.00
Space group Cmmm (No. 65)
Symmetry-distinct sites (fractional):
Sm 0.000 0.244 0.000
Sm 0.231 0.000 0.500
Rh 0.000 0.000 0.000
Se 0.000 0.500 0.000
Se 0.250 0.250 0.500

***

Entry from Alexandria via LeMat-Bulk: crystalline Nb6AlC at its relaxed geometry (PBE).

## Properties
Formation energy from the elements in eV per atom: -0.127
DFT total energy in eV per formula unit: -74.4
Spin magnetization in μB per atom: 0.000

a b c (Å): 4.913 5.379 5.453
angles (deg): 97.29 108.52 92.88
Space group P-1 (No. 2)
Symmetry-distinct sites (fractional):
Nb 0.061 0.294 0.145
Nb 0.206 0.856 0.430
Nb 0.403 0.410 0.735
Al 0.500 0.000 0.000
C 0.000 0.500 0.500

***

What is the DFT total energy in the first record? -32.2 eV per formula unit

***

Number 3 is which compound? Sm4RhSe3